Compound: Pu2ZrBi2N2
Source: Alexandria via LeMat-Bulk
Functional: PBE
Structure: optimized geometry

Lattice parameters (Å, degrees): 8.5344 8.5344 8.5344 150.67 150.67 41.96
Fractional positions:
1 Pu 0.0934 0.0934 0.0000
2 Pu 0.9066 0.9066 0.0000
3 Zr 0.5000 0.5000 0.0000
4 Bi 0.3002 0.3002 0.0000
5 Bi 0.6998 0.6998 0.0000
6 N 0.0000 0.5000 0.5000
7 N 0.5000 0.0000 0.5000

crystal system = tetragonal
total magnetic moment = 10.68 μB/f.u.
energy relative to the elements, uncorrected = -0.78 eV/atom
space group = I4/mmm

---

Compound: RbBiN3
Source: Alexandria via LeMat-Bulk
Functional: PBE
Structure: optimized geometry

Lattice parameters (Å, degrees): 4.3414 4.3414 4.3414 90.00 90.00 90.00
Fractional positions:
1 Rb 0.0000 0.0000 0.0000
2 Bi 0.5000 0.5000 0.5000
3 N 0.0000 0.0000 0.5000
4 N 0.0000 0.5000 0.0000
5 N 0.5000 0.0000 0.0000

crystal system = cubic
total magnetic moment = 1.64 μB/f.u.
energy relative to the elements, uncorrected = 2.92 eV/atom
space group = Pm-3m